# 1
VASP calculation (meta-GGA SCAN) on a crystal of Al2AsRu relaxed with PBEsol.

CIF file:
```
data_Al2AsRu
_cell_length_a 2.984
_cell_length_b 4.386
_cell_length_c 4.644
_cell_angle_alpha 90.00
_cell_angle_beta 90.13
_cell_angle_gamma 90.00
_space_group_name_H-M_alt 'P 1 2/m 1'
_space_group_IT_number 10
loop_
_space_group_symop_operation_xyz
'x,y,z'
'-x,-y,-z'
'-x,y,-z'
'x,-y,z'
loop_
_atom_site_label
_atom_site_fract_x
_atom_site_fract_y
_atom_site_fract_z
Al1 0.231 0.000 0.264
As1 0.000 0.500 0.000
Ru1 0.500 0.500 0.500
```

Computed properties:
Crystal system = monoclinic
DFT formation energy = -45 meV/atom
Energy = -17.67 eV per atom
Magnetic moment = 0.000 μB per atom

---

# 2
VASP calculation (meta-GGA SCAN) on a crystal of Cu2TcSe relaxed with PBEsol.

CIF file:
```
data_Cu2TcSe
_cell_length_a 2.602
_cell_length_b 3.988
_cell_length_c 5.312
_cell_angle_alpha 90.00
_cell_angle_beta 90.00
_cell_angle_gamma 90.00
_space_group_name_H-M_alt 'P m m m'
_space_group_IT_number 47
loop_
_space_group_symop_operation_xyz
'x,y,z'
'-x,-y,-z'
'-x,-y,z'
'x,y,-z'
'x,-y,-z'
'-x,y,z'
'-x,y,-z'
'x,-y,z'
loop_
_atom_site_label
_atom_site_fract_x
_atom_site_fract_y
_atom_site_fract_z
Cu1 0.000 0.000 0.232
Tc1 0.500 0.500 0.000
Se1 0.500 0.500 0.500
```

Computed properties:
Crystal system = orthorhombic
Energy = -20.91 eV per atom
E_form (uncorrected) = 0.4738 eV per atom
Magnetic moment = 0.000 μB per atom

---

# 3
VASP calculation (meta-GGA SCAN) on a crystal of TaIn2Pb relaxed with PBEsol.

CIF file:
```
data_TaIn2Pb
_cell_length_a 3.1454
_cell_length_b 3.1454
_cell_length_c 32.0365
_cell_angle_alpha 90.00
_cell_angle_beta 90.00
_cell_angle_gamma 120.00
_space_group_name_H-M_alt 'R -3 m'
_space_group_IT_number 166
_space_group_name_Hall '-R 3 2"'
loop_
_atom_site_label
_atom_site_fract_x
_atom_site_fract_y
_atom_site_fract_z
Ta1 0.0000 0.0000 0.0000
In1 0.0000 0.0000 0.2591
Pb1 0.0000 0.0000 0.5000
```

Computed properties:
Crystal system = trigonal
DFT formation energy = 310 meV/atom
Energy = -51.97 eV per atom
Magnetic moment = 0.000 μB per atom

---

# 4
VASP calculation (meta-GGA SCAN) on a crystal of Ca2AuN relaxed with PBEsol.

CIF file:
```
data_Ca2AuN
_cell_length_a 6.826
_cell_length_b 6.826
_cell_length_c 7.616
_cell_angle_alpha 90.00
_cell_angle_beta 90.00
_cell_angle_gamma 90.00
_space_group_name_H-M_alt 'I -4 2 d'
_space_group_IT_number 122
_space_group_name_Hall 'I -4 2bw'
loop_
_atom_site_label
_atom_site_fract_x
_atom_site_fract_y
_atom_site_fract_z
Ca1 0.164 0.250 0.125
Au1 0.000 0.000 0.500
N1 0.000 0.000 0.000
```

Computed properties:
Crystal system = tetragonal
Energy = -25.19 eV per atom
E_form (uncorrected) = -0.7482 eV per atom
Magnetic moment = 0.000 μB per atom

---

# 5
VASP calculation (meta-GGA SCAN) on a crystal of GaSi2Sb2 relaxed with PBEsol.

CIF file:
```
data_GaSi2Sb2
_cell_length_a 7.408
_cell_length_b 7.408
_cell_length_c 3.768
_cell_angle_alpha 90.00
_cell_angle_beta 90.00
_cell_angle_gamma 90.00
_space_group_name_H-M_alt 'P 4/m b m'
_space_group_IT_number 127
_space_group_name_Hall '-P 4 2ab'
loop_
_atom_site_label
_atom_site_fract_x
_atom_site_fract_y
_atom_site_fract_z
Ga1 0.000 0.000 0.000
Si1 0.124 0.376 0.000
Sb1 0.174 0.674 0.500
```

Computed properties:
Crystal system = tetragonal
Energy = -21.67 eV per atom
E_form (uncorrected) = 0.5062 eV per atom
Magnetic moment = 0.000 μB per atom

---

# 6
VASP calculation (meta-GGA SCAN) on a crystal of CoMoW3 relaxed with PBEsol.

CIF file:
```
data_CoMoW3
_cell_length_a 4.380
_cell_length_b 4.380
_cell_length_c 4.380
_cell_angle_alpha 90.00
_cell_angle_beta 90.00
_cell_angle_gamma 90.00
_space_group_name_H-M_alt 'P m -3 m'
_space_group_IT_number 221
_space_group_name_Hall '-P 4 2 3'
loop_
_atom_site_label
_atom_site_fract_x
_atom_site_fract_y
_atom_site_fract_z
Co1 0.000 0.000 0.000
Mo1 0.500 0.500 0.500
W1 0.000 0.000 0.500
```

Computed properties:
Crystal system = cubic
DFT formation energy = 1545 meV/atom
Energy = -50.71 eV per atom
Magnetic moment = 0.000 μB per atom